# 1
{"formula": "MgBeFe", "functional": "PBEsol", "state": "relaxed", "ef_mev_per_atom": 189.5, "volume_a3_per_atom": 12.213, "cell": [[-1.409, 1.409, 4.617], [1.409, -1.409, 4.617], [1.409, 1.409, -4.617]], "species": ["Mg", "Be", "Fe"], "fractional_positions": [[0.000, 0.000, 0.000], [0.295, 0.295, 0.000], [0.696, 0.696, 0.000]]}



# 2
{"formula": "MnBeFe2", "functional": "PBEsol", "state": "relaxed", "ef_mev_per_atom": -86.7, "volume_a3_per_atom": 9.479, "cell": [[2.477, 0.000, 0.000], [0.000, 2.477, 0.000], [0.000, 0.000, 6.179]], "species": ["Mn", "Be", "Fe", "Fe"], "fractional_positions": [[0.000, 0.000, 0.000], [0.000, 0.000, 0.500], [0.500, 0.500, 0.268], [0.500, 0.500, 0.732]]}



# 3
{"formula": "Mn2BeFe", "functional": "PBEsol", "state": "relaxed", "ef_mev_per_atom": -70.5, "volume_a3_per_atom": 9.440, "cell": [[-1.358, 1.832, 3.794], [1.358, -1.832, 3.794], [1.358, 1.832, -3.794]], "species": ["Mn", "Mn", "Be", "Fe"], "fractional_positions": [[0.247, 0.247, 0.000], [0.753, 0.753, 0.000], [0.000, 0.500, 0.500], [0.500, 0.000, 0.500]]}



# 4
{"formula": "MnBeFe2", "functional": "PBEsol", "state": "relaxed", "ef_mev_per_atom": 18.2, "volume_a3_per_atom": 9.933, "cell": [[3.009, 0.000, 0.000], [0.000, 3.625, 0.000], [0.000, 0.000, 3.643]], "species": ["Mn", "Be", "Fe", "Fe"], "fractional_positions": [[0.000, 0.000, 0.000], [0.500, 0.500, 0.000], [0.000, 0.500, 0.500], [0.500, 0.000, 0.500]]}



# 5
{"formula": "MnBeFe2", "functional": "PBEsol", "state": "relaxed", "ef_mev_per_atom": -18.3, "volume_a3_per_atom": 9.620, "cell": [[-1.409, 1.872, 3.649], [1.409, -1.872, 3.649], [1.409, 1.872, -3.649]], "species": ["Mn", "Be", "Fe", "Fe"], "fractional_positions": [[0.000, 0.000, 0.000], [0.500, 0.500, 0.000], [0.254, 0.754, 0.500], [0.746, 0.246, 0.500]]}



# 6
{"formula": "MnBeFe", "functional": "PBEsol", "state": "relaxed", "ef_mev_per_atom": -158.0, "volume_a3_per_atom": 9.105, "cell": [[-1.294, 1.294, 4.079], [1.294, -1.294, 4.079], [1.294, 1.294, -4.079]], "species": ["Mn", "Be", "Fe"], "fractional_positions": [[0.000, 0.000, 0.000], [0.670, 0.670, 0.000], [0.329, 0.329, 0.000]]}



# 7
{"formula": "MnBe4Fe", "functional": "PBEsol", "state": "relaxed", "ef_mev_per_atom": -246.7, "volume_a3_per_atom": 8.302, "cell": [[0.000, 2.920, 2.920], [2.920, 0.000, 2.920], [2.920, 2.920, 0.000]], "species": ["Mn", "Be", "Be", "Be", "Be", "Fe"], "fractional_positions": [[0.000, 0.000, 0.000], [0.375, 0.375, 0.375], [0.375, 0.375, 0.875], [0.375, 0.875, 0.375], [0.875, 0.375, 0.375], [0.750, 0.750, 0.750]]}



# 8
{"formula": "MnBeFe2Pb", "functional": "PBEsol", "state": "relaxed", "ef_mev_per_atom": 1461.5, "volume_a3_per_atom": 17.035, "cell": [[4.175, 0.000, 0.000], [0.000, 4.175, 0.000], [0.000, 0.000, 4.887]], "species": ["Mn", "Be", "Fe", "Fe", "Pb"], "fractional_positions": [[0.000, 0.000, 0.000], [0.500, 0.500, 0.500], [0.000, 0.500, 0.000], [0.500, 0.000, 0.000], [0.000, 0.000, 0.500]]}